Below is an optimized crystal structure of SrYb2Eu, with properties calculated at the PBE level.

a = 6.198 Å, b = 6.198 Å, c = 6.198 Å
α = 60.00°, β = 60.00°, γ = 60.00°
Positions (direct):
Sr  0.000  0.000  0.000
Yb  0.250  0.250  0.250
Yb  0.750  0.750  0.750
Eu  0.500  0.500  0.500

Calculated values
uncorrected energy	-3.7738	eV per atom
energy of formation from the pure elements	-0.022	eV/atom
D(E_F)	43.42	states/eV per cell